No. 1
DFT (PBE) results for a geometry-optimized YBiI3 structure.

Values from the calculation:
E, Ha/atom: -0.129
Raw formation energy, eV/atom: -0.509
ΔE to the lowest computed polymorph, eV per atom: 0.000
Magnetic moment, Bohr magnetons per cell: 3.000
D(E_F), states/eV/cell: 0.2

abc: 6.075 6.075 6.075
angles: 90.00 90.00 90.00
Space group Pm-3m (No. 221)
Unique sites:
Y: 0.000 0.000 0.000 x1
Bi: 0.500 0.500 0.500 x1
I: 0.000 0.000 0.500 x3



No. 2
DFT (PBE) results for a geometry-optimized Y3BiI structure.

Values from the calculation:
E, Ha/atom: -0.179
Raw formation energy, eV/atom: 0.100
ΔE to the lowest computed polymorph, eV per atom: 0.000
Magnetic moment, Bohr magnetons per cell: 0.000
D(E_F), states/eV/cell: 7.5

abc: 5.611 5.611 5.611
angles: 90.00 90.00 90.00
Space group Pm-3m (No. 221)
Unique sites:
Y: 0.000 0.000 0.500 x3
Bi: 0.500 0.500 0.500 x1
I: 0.000 0.000 0.000 x1



No. 3
DFT (PBE) results for a geometry-optimized YBiI2 structure.

Values from the calculation:
E, Ha/atom: -0.143
Raw formation energy, eV/atom: -0.531
ΔE to the lowest computed polymorph, eV per atom: 0.000
Magnetic moment, Bohr magnetons per cell: 7.999
D(E_F), states/eV/cell: 3.7

abc: 10.783 10.783 6.318
angles: 90.00 90.00 90.00
Space group I-42d (No. 122)
Unique sites:
Y: 0.000 0.000 0.000 x4
Bi: 0.000 0.000 0.500 x4
I: 0.117 0.250 0.125 x8



No. 4
DFT (PBE) results for a geometry-optimized YBiI2 structure.

Values from the calculation:
E, Ha/atom: -0.135
Raw formation energy, eV/atom: -0.324
ΔE to the lowest computed polymorph, eV per atom: 0.207
Magnetic moment, Bohr magnetons per cell: 0.000
D(E_F), states/eV/cell: 19.4

abc: 7.899 7.899 7.899
angles: 90.00 90.00 90.00
Space group Fm-3m (No. 225)
Unique sites:
Y: 0.000 0.000 0.000 x4
Bi: 0.000 0.000 0.500 x4
I: 0.250 0.250 0.250 x8



> Which of these has the highest D(E_F)?

number 4



> magnetic moment of number 1 (YBiI3)?

3.000 Bohr magnetons per cell